Record 1
DFT (GGA-PBE) results for an optimized crystal structure of ZnCdInCu.

```
ZnCdInCu
1.0
0.0000 3.3467 3.3467
3.3467 0.0000 3.3467
3.3467 3.3467 0.0000
Zn Cd In Cu
1 1 1 1
direct
0.0000 0.0000 0.0000 Zn
0.2500 0.2500 0.2500 Cd
0.5000 0.5000 0.5000 In
0.7500 0.7500 0.7500 Cu
```

Properties
The value obtained for the energy relative to the lowest polymorph listed for this composition is 44 meV/atom.

Record 2
DFT (GGA-PBE) results for an optimized crystal structure of ZnCdInCu.

```
ZnCdInCu
1.0
0.0000 3.3216 3.3216
3.3216 0.0000 3.3216
3.3216 3.3216 0.0000
Zn Cd In Cu
1 1 1 1
direct
0.0000 0.0000 0.0000 Zn
0.7500 0.7500 0.7500 Cd
0.2500 0.2500 0.2500 In
0.5000 0.5000 0.5000 Cu
```

Properties
The value obtained for the energy relative to the lowest polymorph listed for this composition is 0 meV/atom.

Record 3
DFT (GGA-PBE) results for an optimized crystal structure of ZrCdInCu.

```
ZrCdInCu
1.0
0.0000 3.3886 3.3886
3.3886 0.0000 3.3886
3.3886 3.3886 0.0000
Zr Cd In Cu
1 1 1 1
direct
0.0000 0.0000 0.0000 Zr
0.7500 0.7500 0.7500 Cd
0.2500 0.2500 0.2500 In
0.5000 0.5000 0.5000 Cu
```

Properties
The total magnetization is 0.00 μB/atom. The value obtained for the energy relative to the lowest polymorph listed for this composition is 34 meV/atom.

Record 4
DFT (GGA-PBE) results for an optimized crystal structure of ZrCdInCu.

```
ZrCdInCu
1.0
0.0000 3.3747 3.3747
3.3747 0.0000 3.3747
3.3747 3.3747 0.0000
Zr Cd In Cu
1 1 1 1
direct
0.0000 0.0000 0.0000 Zr
0.2500 0.2500 0.2500 Cd
0.5000 0.5000 0.5000 In
0.7500 0.7500 0.7500 Cu
```

Properties
The total magnetization is 0.00 μB/atom. The value obtained for the energy relative to the lowest polymorph listed for this composition is 0 meV/atom.

Record 5
DFT (GGA-PBE) results for an optimized crystal structure of La2Cd4CuIr.

```
La2Cd4CuIr
1.0
8.4375 0.0000 0.0000
0.0000 2.1400 5.0441
0.0000 -2.1400 5.0441
La Cd Cu Ir
2 4 1 1
direct
0.0000 0.0000 0.0000 La
0.5000 0.1272 0.1272 La
0.1970 0.7073 0.7073 Cd
0.2938 0.4154 0.4154 Cd
0.7062 0.4154 0.4154 Cd
0.8030 0.7073 0.7073 Cd
0.0000 0.2904 0.2904 Cu
0.5000 0.8429 0.8429 Ir
```

Properties
The total magnetization is 0.00 μB/atom. As for the calculated formation energy: -0.38 eV per atom.

Record 6
DFT (GGA-PBE) results for an optimized crystal structure of CdCuIrPb.

```
CdCuIrPb
1.0
0.0000 3.3109 3.3109
3.3109 0.0000 3.3109
3.3109 3.3109 0.0000
Cd Cu Ir Pb
1 1 1 1
direct
0.0000 0.0000 0.0000 Cd
0.7500 0.7500 0.7500 Cu
0.2500 0.2500 0.2500 Ir
0.5000 0.5000 0.5000 Pb
```

Properties
The total magnetization is 0.00 μB/atom. The value obtained for the energy relative to the lowest polymorph listed for this composition is 0 meV/atom.

Record 7
DFT (GGA-PBE) results for an optimized crystal structure of TlCdCuIr.

```
TlCdCuIr
1.0
0.0000 3.2716 3.2716
3.2716 0.0000 3.2716
3.2716 3.2716 0.0000
Tl Cd Cu Ir
1 1 1 1
direct
0.0000 0.0000 0.0000 Tl
0.5000 0.5000 0.5000 Cd
0.2500 0.2500 0.2500 Cu
0.7500 0.7500 0.7500 Ir
```

Properties
The total magnetization is 0.00 μB/atom. The value obtained for the energy relative to the lowest polymorph listed for this composition is 0 meV/atom.

Record 8
DFT (GGA-PBE) results for an optimized crystal structure of ZnCdCuIr.

```
ZnCdCuIr
1.0
0.0000 3.1205 3.1205
3.1205 0.0000 3.1205
3.1205 3.1205 0.0000
Zn Cd Cu Ir
1 1 1 1
direct
0.0000 0.0000 0.0000 Zn
0.5000 0.5000 0.5000 Cd
0.2500 0.2500 0.2500 Cu
0.7500 0.7500 0.7500 Ir
```

Properties
The total magnetization is 0.00 μB/atom. The value obtained for the energy relative to the lowest polymorph listed for this composition is 0 meV/atom. As for the calculated formation energy: 0.05 eV per atom.

Record 9
DFT (GGA-PBE) results for an optimized crystal structure of LaNdCd2Cu4.

```
LaNdCd2Cu4
1.0
4.8241 0.0000 0.0000
0.0000 4.8241 0.0000
0.0000 0.0000 6.8273
La Nd Cd Cu
1 1 2 4
direct
0.0000 0.0000 0.0000 La
0.5000 0.5000 0.5000 Nd
0.0000 0.0000 0.5000 Cd
0.5000 0.5000 0.0000 Cd
0.0000 0.5000 0.2536 Cu
0.0000 0.5000 0.7464 Cu
0.5000 0.0000 0.2536 Cu
0.5000 0.0000 0.7464 Cu
```

Properties
The total magnetization is 0.01 μB/atom. As for the calculated formation energy: -0.17 eV per atom.

Record 10
DFT (GGA-PBE) results for an optimized crystal structure of La2Cd4CuNi.

```
La2Cd4CuNi
1.0
8.1979 0.0000 0.0000
0.0000 2.1659 5.0128
0.0000 -2.1659 5.0128
La Cd Cu Ni
2 4 1 1
direct
0.0000 0.0000 0.0000 La
0.5000 0.1220 0.1220 La
0.2001 0.7094 0.7094 Cd
0.3050 0.4142 0.4142 Cd
0.6950 0.4142 0.4142 Cd
0.7999 0.7094 0.7094 Cd
0.0000 0.2906 0.2906 Cu
0.5000 0.8421 0.8421 Ni
```

Properties
The total magnetization is 0.00 μB/atom. As for the calculated formation energy: -0.34 eV per atom.

Record 11
DFT (GGA-PBE) results for an optimized crystal structure of La2Cd4CuPd.

```
La2Cd4CuPd
1.0
8.2852 0.0000 0.0000
0.0000 2.1898 5.0958
0.0000 -2.1898 5.0958
La Cd Cu Pd
2 4 1 1
direct
0.0000 0.0000 0.0000 La
0.5000 0.1288 0.1288 La
0.2021 0.7093 0.7093 Cd
0.3071 0.4203 0.4203 Cd
0.6929 0.4203 0.4203 Cd
0.7979 0.7093 0.7093 Cd
0.5000 0.8364 0.8364 Cu
0.0000 0.2866 0.2866 Pd
```

Properties
The total magnetization is 0.00 μB/atom. As for the calculated formation energy: -0.46 eV per atom.

Record 12
DFT (GGA-PBE) results for an optimized crystal structure of LiCd2Cu.

```
LiCd2Cu
1.0
0.0000 3.2033 3.2033
3.2033 0.0000 3.2033
3.2033 3.2033 0.0000
Li Cd Cu
1 2 1
direct
0.0000 0.0000 0.0000 Li
0.5000 0.5000 0.5000 Cd
0.7500 0.7500 0.7500 Cd
0.2500 0.2500 0.2500 Cu
```

Properties
As for the final energy: -0.0705 Ha/atom.